No. 1
10
Lattice="-1.9051 -1.6815 6.4877 -4.0273 -5.1040 -2.5055 2.2086 -1.8284 0.1747" Properties=species:S:1:pos:R:3 comment="Al2OsRu2 PBE relaxed" sg="P4/mbm (127)" delta_e_f_ev_per_atom=-0.16 dft_energy_ev_per_atom=-7.609 vol_a3_per_cell=139 pbc="T T T"
Al -4.1981 -4.6840 4.0513
Al -1.7334 -1.7339 3.7680
Os 0.0000 0.0000 0.0000
Ru -1.9134 -4.6146 -0.4915
Ru -1.8105 -3.9993 4.6484
Os -2.9662 -3.3928 1.9911
Ru -0.2074 -2.3342 1.8092
Al -4.1990 -5.0516 0.2142
Al -1.7343 -2.1015 -0.0690
Ru -3.5164 -6.2797 2.3477



No. 2
4
Lattice="4.8021 0.0042 0.0000 1.8398 4.4357 0.0000 -3.3209 -2.2200 2.6652" Properties=species:S:1:pos:R:3 comment="AlOs2Ru PBE relaxed" sg="I4/mmm (139)" delta_e_f_ev_per_atom=0.00 dft_energy_ev_per_atom=-8.871 vol_a3_per_cell=57 pbc="T T T"
Os 3.3209 2.2200 0.0000
Al 2.4010 0.0021 1.3326
Os 0.0000 0.0000 0.0000
Ru 0.9199 2.2178 1.3326